No. 1
Crystalline AcTb2MgAu4 at its relaxed geometry. Source: Alexandria, functional GGA-PBE.

a = 5.0445 Å, b = 5.0445 Å, c = 26.7647 Å
α = 90.00°, β = 90.00°, γ = 120.00°
Space group R-3m (No. 166, hexagonal axes)
One atom of each set of equivalent atoms:
Ac 0.0000 0.0000 0.0000
Tb 0.0000 0.0000 0.2351
Mg 0.0000 0.0000 0.5000
Au 0.0000 0.0000 0.1225
Au 0.0000 0.0000 0.3960

The value obtained for the electronic total energy is -4.28 eV/atom.



No. 2
Crystalline AcTbMgAu at its relaxed geometry. Source: Alexandria, functional GGA-PBE.

a = 7.7138 Å, b = 7.7138 Å, c = 7.7138 Å
α = 90.00°, β = 90.00°, γ = 90.00°
Space group F-43m (No. 216)
One atom of each set of equivalent atoms:
Ac 0.0000 0.0000 0.0000
Tb 0.0000 0.0000 0.5000
Mg 0.2500 0.2500 0.2500
Au 0.2500 0.2500 0.7500

The value obtained for the electronic total energy is -3.73 eV/atom.



No. 3
Crystalline Ac2MgTlAu at its relaxed geometry. Source: Alexandria, functional GGA-PBE.

a = 8.1346 Å, b = 4.8982 Å, c = 8.3787 Å
α = 90.00°, β = 110.63°, γ = 90.00°
Space group P2_1/m (No. 11)
One atom of each set of equivalent atoms:
Ac 0.0344 0.2500 0.2019
Ac 0.3464 0.7500 0.6043
Mg 0.3435 0.2500 0.9457
Tl 0.3386 0.7500 0.1725
Au 0.0889 0.2500 0.6117

The value obtained for the electronic total energy is -3.60 eV/atom.



No. 4
Crystalline Ac2TmMgAu6 at its relaxed geometry. Source: Alexandria, functional GGA-PBE.

a = 5.7498 Å, b = 5.7657 Å, c = 8.4207 Å
α = 105.85°, β = 104.15°, γ = 100.75°
Space group P-1 (No. 2)
One atom of each set of equivalent atoms:
Ac 0.1920 0.4640 0.2955
Tm 0.5000 0.0000 0.0000
Mg 0.0000 0.0000 0.5000
Au 0.0463 0.8767 0.1232
Au 0.3375 0.4376 0.8198
Au 0.4445 0.9287 0.6421

The value obtained for the electronic total energy is -4.07 eV/atom.



no.,magnetization (μB per formula unit),energy of formation from the pure elements (meV per atom),calculated volume (Å³/cell)
1,0.0,-770,589.8
2,0.0,-332,459.0
3,0.0,-510,312.4
4,0.0,-677,250.6